Computed, not measured: a relaxed Rb3TaZn2O6 crystal at the PBE-GGA level of DFT.

```
12
Lattice="-4.605 0.452 3.882 2.525 -5.380 -1.077 4.658 1.105 5.398" Properties=species:S:1:pos:R:3 pbc="T T T"
Rb 3.604 -2.616 4.581
Rb -1.027 -1.207 3.621
Rb 0.000 0.000 0.000
Ta 2.329 0.553 2.699
Zn 0.918 -0.746 5.875
Zn 1.659 -3.077 2.327
O 0.483 -3.876 3.558
O 1.605 -1.218 2.046
O 2.967 -4.120 1.465
O 0.973 -2.605 6.156
O 2.095 0.053 4.643
O -0.389 0.297 6.737
```

ΔE_f (raw) = -1817.2 meV per atom
ρ = 4839 kg/m3